Compound: SrSb2PI
Source: Alexandria via LeMat-Bulk
Functional: PBE-GGA
Structure: relaxed Values from VASP.

Calculated values
Spin magnetization = 0.407 μB per cell
Energy relative to the elements, uncorrected = 0.87 eV/atom
Crystal system = tetragonal
Space group = P4/mmm, No. 123
Polymorph energy (0 for the lowest one) = 962 meV per atom
E_tot = -12.51 eV/cell

```
&SYSTEM
  ibrav = 0, nat = 5, ntyp = 4
/
ATOMIC_SPECIES
Sb 121.76 Sb.upf
Sr 87.62 Sr.upf
I 126.90 I.upf
P 30.97 P.upf
ATOMIC_POSITIONS crystal
Sb 0.500 0.000 0.000
Sb 0.000 0.500 0.000
Sr 0.000 0.000 0.000
I 0.000 0.000 0.500
P 0.500 0.500 0.500
CELL_PARAMETERS angstrom
6.369 0.000 0.000
0.000 6.369 0.000
0.000 0.000 6.198
```